# HgIrPb2 (PBE, relaxed)
# Formation enthalpy at 0 K = 0.51 eV per atom
data_HgIrPb2
_chemical_formula_sum 'Hg1 Ir1 Pb2'
_cell_length_a 5.687
_cell_length_b 5.687
_cell_length_c 5.687
_cell_angle_alpha 134.03
_cell_angle_beta 134.03
_cell_angle_gamma 67.04
_symmetry_space_group_name_H-M 'P 1'
_symmetry_Int_Tables_number 1
_symmetry_space_group_name_Hall 'P 1'
loop_
_atom_site_label
_atom_site_fract_x
_atom_site_fract_y
_atom_site_fract_z
Hg1 0.500 0.500 0.000
Ir1 0.750 0.250 0.500
Pb1 0.000 0.000 0.000
Pb2 0.250 0.750 0.500

# HgIrPb2 (PBE, relaxed)
# Formation enthalpy at 0 K = 0.34 eV per atom
data_HgIrPb2
_chemical_formula_sum 'Hg1 Ir1 Pb2'
_cell_length_a 10.553
_cell_length_b 10.553
_cell_length_c 10.553
_cell_angle_alpha 18.04
_cell_angle_beta 18.04
_cell_angle_gamma 18.04
_symmetry_space_group_name_H-M 'P 1'
_symmetry_Int_Tables_number 1
_symmetry_space_group_name_Hall 'P 1'
loop_
_atom_site_label
_atom_site_fract_x
_atom_site_fract_y
_atom_site_fract_z
Hg1 0.487 0.487 0.487
Ir1 0.752 0.752 0.752
Pb1 0.018 0.018 0.018
Pb2 0.243 0.243 0.243

# HgIr2Pb (PBE, relaxed)
# Formation enthalpy at 0 K = 0.55 eV per atom
data_HgIr2Pb
_chemical_formula_sum 'Hg1 Ir2 Pb1'
_cell_length_a 10.703
_cell_length_b 10.703
_cell_length_c 10.703
_cell_angle_alpha 16.01
_cell_angle_beta 16.01
_cell_angle_gamma 16.01
_symmetry_space_group_name_H-M 'P 1'
_symmetry_Int_Tables_number 1
_symmetry_space_group_name_Hall 'P 1'
loop_
_atom_site_label
_atom_site_fract_x
_atom_site_fract_y
_atom_site_fract_z
Hg1 0.734 0.734 0.734
Ir1 0.991 0.991 0.991
Ir2 0.260 0.260 0.260
Pb1 0.514 0.514 0.514

# HgIr2Pb (PBE, relaxed)
# Formation enthalpy at 0 K = 0.55 eV per atom
data_HgIr2Pb
_chemical_formula_sum 'Hg1 Ir2 Pb1'
_cell_length_a 4.870
_cell_length_b 4.870
_cell_length_c 4.870
_cell_angle_alpha 125.91
_cell_angle_beta 125.91
_cell_angle_gamma 80.04
_symmetry_space_group_name_H-M 'P 1'
_symmetry_Int_Tables_number 1
_symmetry_space_group_name_Hall 'P 1'
loop_
_atom_site_label
_atom_site_fract_x
_atom_site_fract_y
_atom_site_fract_z
Hg1 0.750 0.250 0.500
Ir1 0.000 0.000 0.000
Ir2 0.500 0.500 0.000
Pb1 0.250 0.750 0.500

# HgIrPb2 (PBE, relaxed)
# Formation enthalpy at 0 K = 0.48 eV per atom
data_HgIrPb2
_chemical_formula_sum 'Hg1 Ir1 Pb2'
_cell_length_a 4.166
_cell_length_b 6.428
_cell_length_c 5.872
_cell_angle_alpha 39.43
_cell_angle_beta 90.00
_cell_angle_gamma 90.00
_symmetry_space_group_name_H-M 'P 1'
_symmetry_Int_Tables_number 1
_symmetry_space_group_name_Hall 'P 1'
loop_
_atom_site_label
_atom_site_fract_x
_atom_site_fract_y
_atom_site_fract_z
Hg1 0.500 0.500 0.500
Ir1 0.000 0.000 0.500
Pb1 0.000 0.000 0.000
Pb2 0.500 0.500 0.000

# HgIrPb2 (PBE, relaxed)
# Formation enthalpy at 0 K = 0.22 eV per atom
data_HgIrPb2
_chemical_formula_sum 'Hg1 Ir1 Pb2'
_cell_length_a 7.337
_cell_length_b 7.337
_cell_length_c 7.337
_cell_angle_alpha 154.81
_cell_angle_beta 142.55
_cell_angle_gamma 45.67
_symmetry_space_group_name_H-M 'P 1'
_symmetry_Int_Tables_number 1
_symmetry_space_group_name_Hall 'P 1'
loop_
_atom_site_label
_atom_site_fract_x
_atom_site_fract_y
_atom_site_fract_z
Hg1 0.750 0.250 0.500
Ir1 0.250 0.750 0.500
Pb1 0.073 0.073 0.000
Pb2 0.427 0.427 0.000

# HgIrPb2 (PBE, relaxed)
# Formation enthalpy at 0 K = 0.45 eV per atom
data_HgIrPb2
_chemical_formula_sum 'Hg1 Ir1 Pb2'
_cell_length_a 8.051
_cell_length_b 5.196
_cell_length_c 3.473
_cell_angle_alpha 89.27
_cell_angle_beta 65.49
_cell_angle_gamma 129.50
_symmetry_space_group_name_H-M 'P 1'
_symmetry_Int_Tables_number 1
_symmetry_space_group_name_Hall 'P 1'
loop_
_atom_site_label
_atom_site_fract_x
_atom_site_fract_y
_atom_site_fract_z
Hg1 0.000 0.500 0.500
Ir1 0.500 0.500 0.000
Pb1 0.000 0.000 0.000
Pb2 0.500 0.000 0.500

# HgIrPb2 (PBE, relaxed)
# Formation enthalpy at 0 K = 0.23 eV per atom
data_HgIrPb2
_chemical_formula_sum 'Hg2 Ir2 Pb4'
_cell_length_a 9.133
_cell_length_b 9.133
_cell_length_c 7.008
_cell_angle_alpha 49.34
_cell_angle_beta 49.34
_cell_angle_gamma 90.00
_symmetry_space_group_name_H-M 'P 1'
_symmetry_Int_Tables_number 1
_symmetry_space_group_name_Hall 'P 1'
loop_
_atom_site_label
_atom_site_fract_x
_atom_site_fract_y
_atom_site_fract_z
Pb1 0.520 0.125 0.250
Pb2 0.230 0.625 0.250
Pb3 0.375 0.480 0.750
Pb4 0.875 0.770 0.750
Ir1 0.500 0.500 0.000
Ir2 0.250 0.750 0.500
Hg1 0.000 0.000 0.000
Hg2 0.750 0.250 0.500

# HgIr2Pb (PBE, relaxed)
# Formation enthalpy at 0 K = 0.61 eV per atom
data_HgIr2Pb
_chemical_formula_sum 'Hg1 Ir2 Pb1'
_cell_length_a 4.783
_cell_length_b 4.783
_cell_length_c 5.350
_cell_angle_alpha 78.72
_cell_angle_beta 78.72
_cell_angle_gamma 38.76
_symmetry_space_group_name_H-M 'P 1'
_symmetry_Int_Tables_number 1
_symmetry_space_group_name_Hall 'P 1'
loop_
_atom_site_label
_atom_site_fract_x
_atom_site_fract_y
_atom_site_fract_z
Hg1 0.250 0.250 0.250
Ir1 0.001 0.001 0.007
Ir2 0.499 0.499 0.493
Pb1 0.750 0.750 0.750

# HgIrPt2Pb (PBE, relaxed)
# Formation enthalpy at 0 K = 1.78 eV per atom
data_HgIrPt2Pb
_chemical_formula_sum 'Hg1 Ir1 Pt2 Pb1'
_cell_length_a 4.994
_cell_length_b 5.375
_cell_length_c 4.994
_cell_angle_alpha 90.00
_cell_angle_beta 90.00
_cell_angle_gamma 90.00
_symmetry_space_group_name_H-M 'P 1'
_symmetry_Int_Tables_number 1
_symmetry_space_group_name_Hall 'P 1'
loop_
_atom_site_label
_atom_site_fract_x
_atom_site_fract_y
_atom_site_fract_z
Pb1 0.000 0.500 0.000
Ir1 0.500 0.500 0.500
Hg1 0.000 0.000 0.000
Pt1 0.000 0.000 0.500
Pt2 0.500 0.000 0.000

# RbHg2IrPb (PBE, relaxed)
# Formation enthalpy at 0 K = -0.04 eV per atom
data_RbHg2IrPb
_chemical_formula_sum 'Rb1 Hg2 Ir1 Pb1'
_cell_length_a 5.458
_cell_length_b 5.458
_cell_length_c 5.190
_cell_angle_alpha 90.00
_cell_angle_beta 90.00
_cell_angle_gamma 90.00
_symmetry_space_group_name_H-M 'P 1'
_symmetry_Int_Tables_number 1
_symmetry_space_group_name_Hall 'P 1'
loop_
_atom_site_label
_atom_site_fract_x
_atom_site_fract_y
_atom_site_fract_z
Pb1 0.000 0.000 0.500
Ir1 0.000 0.000 0.000
Hg1 0.000 0.500 0.000
Hg2 0.500 0.000 0.000
Rb1 0.500 0.500 0.500

# HgSbIrPb2 (PBE, relaxed)
# Formation energy from raw total energies = 1.380 eV/atom
data_HgSbIrPb2
_chemical_formula_sum 'Hg1 Sb1 Ir1 Pb2'
_cell_length_a 5.543
_cell_length_b 5.543
_cell_length_c 5.386
_cell_angle_alpha 90.00
_cell_angle_beta 90.00
_cell_angle_gamma 90.00
_symmetry_space_group_name_H-M 'P 1'
_symmetry_Int_Tables_number 1
_symmetry_space_group_name_Hall 'P 1'
loop_
_atom_site_label
_atom_site_fract_x
_atom_site_fract_y
_atom_site_fract_z
Pb1 0.000 0.500 0.000
Pb2 0.500 0.000 0.000
Sb1 0.000 0.000 0.500
Ir1 0.500 0.500 0.500
Hg1 0.000 0.000 0.000

# Sr2HgIrPb (PBE, relaxed)
# Formation enthalpy at 0 K = -0.27 eV per atom
data_Sr2HgIrPb
_chemical_formula_sum 'Sr2 Hg1 Ir1 Pb1'
_cell_length_a 5.923
_cell_length_b 5.923
_cell_length_c 5.226
_cell_angle_alpha 90.00
_cell_angle_beta 90.00
_cell_angle_gamma 90.00
_symmetry_space_group_name_H-M 'P 1'
_symmetry_Int_Tables_number 1
_symmetry_space_group_name_Hall 'P 1'
loop_
_atom_site_label
_atom_site_fract_x
_atom_site_fract_y
_atom_site_fract_z
Pb1 0.000 0.000 0.500
Sr1 0.000 0.500 0.000
Sr2 0.500 0.000 0.000
Ir1 0.000 0.000 0.000
Hg1 0.500 0.500 0.500

# SrHgIr2Pb (PBE, relaxed)
# Formation enthalpy at 0 K = 1.89 eV per atom
data_SrHgIr2Pb
_chemical_formula_sum 'Sr1 Hg1 Ir2 Pb1'
_cell_length_a 5.079
_cell_length_b 6.034
_cell_length_c 5.079
_cell_angle_alpha 90.00
_cell_angle_beta 90.00
_cell_angle_gamma 90.00
_symmetry_space_group_name_H-M 'P 1'
_symmetry_Int_Tables_number 1
_symmetry_space_group_name_Hall 'P 1'
loop_
_atom_site_label
_atom_site_fract_x
_atom_site_fract_y
_atom_site_fract_z
Pb1 0.000 0.500 0.000
Sr1 0.000 0.000 0.000
Ir1 0.000 0.000 0.500
Ir2 0.500 0.000 0.000
Hg1 0.500 0.500 0.500

# Tl2HgIrPb (PBE, relaxed)
# Formation enthalpy at 0 K = 0.14 eV per atom
data_Tl2HgIrPb
_chemical_formula_sum 'Tl2 Hg1 Ir1 Pb1'
_cell_length_a 5.333
_cell_length_b 5.333
_cell_length_c 5.333
_cell_angle_alpha 90.00
_cell_angle_beta 90.00
_cell_angle_gamma 90.00
_symmetry_space_group_name_H-M 'P 1'
_symmetry_Int_Tables_number 1
_symmetry_space_group_name_Hall 'P 1'
loop_
_atom_site_label
_atom_site_fract_x
_atom_site_fract_y
_atom_site_fract_z
Pb1 0.000 0.000 0.500
Tl1 0.000 0.500 0.000
Tl2 0.500 0.000 0.000
Ir1 0.000 0.000 0.000
Hg1 0.500 0.500 0.500